# 1
## Cs2PaGe2S6 (PBE-GGA)

Data for a geometry-optimized Cs2PaGe2S6 structure.

The structure belongs to space group C2/m (No. 12); the cell edges are 12.7300, 7.3537 and 8.2975 Å and the angles 90.00°, 120.87° and 90.00°. The distinct sites, in fractional coordinates, are Cs at (0.2164, 0.0000, 0.1980), Pa at (0.0000, 0.0000, 0.5000), Ge at (0.0492, 0.5000, 0.1833), S at (0.0317, 0.2475, 0.7592) and S at (0.2368, 0.0000, 0.6414).

The density of states at the Fermi level is 4.98 states/eV/f.u. The total DFT energy (no corrections) comes out at -5.092 eV per atom.

---

# 2
## LaCeTl (PBE-GGA)

Data for a geometry-optimized LaCeTl structure.

The structure belongs to space group Fddd (No. 70, origin choice 2); the cell edges are 8.4325, 8.4688 and 22.1414 Å and the angles 90.00°, 90.00° and 90.00°. The distinct sites, in fractional coordinates, are La at (0.1137, 0.3750, 0.3750), Ce at (0.0000, 0.0000, 0.5000) and Tl at (0.1250, 0.1250, 0.2528).

The density of states at the Fermi level is 6.29 states/eV/f.u. The total DFT energy (no corrections) comes out at -4.362 eV per atom. Its relative energy among the computed polymorphs is 204 meV/atom.

---

# 3
## La4PmGe4 (PBE-GGA)

Data for a geometry-optimized La4PmGe4 structure.

The structure belongs to space group P4_2/n (No. 86, origin choice 2); the cell edges are 9.2553, 9.2553 and 6.2712 Å and the angles 90.00°, 90.00° and 90.00°. The distinct sites, in fractional coordinates, are La at (0.0455, 0.6703, 0.1154), Pm at (0.2500, 0.2500, 0.2500) and Ge at (0.0157, 0.6277, 0.6033).

The density of states at the Fermi level is 8.58 states/eV/f.u. The total DFT energy (no corrections) comes out at -5.386 eV per atom.